This record from Alexandria describes an optimized crystal structure of Na2TiNiF8. The functional is GGA+U.

Computed properties:
Crystal system = monoclinic
Electronic total energy = -5.22 eV per atom
Density = 3.09 g/cm³
Spin magnetization = 2.02 μB per formula unit
DOS at the Fermi energy = 0.000 states/eV/cell

Geometry as CIF:
```
data_Na2TiNiF8
_symmetry_space_group_name_H-M 'C 1 2/m 1'
_symmetry_Int_Tables_number 12
_cell_length_a 7.322
_cell_length_b 6.934
_cell_length_c 6.439
_cell_angle_alpha 90.00
_cell_angle_beta 90.17
_cell_angle_gamma 90.00
loop_
_symmetry_equiv_pos_as_xyz
'x,y,z'
'-x,-y,-z'
'-x,y,-z'
'x,-y,z'
'x+1/2,y+1/2,z'
'-x+1/2,-y+1/2,-z'
'-x+1/2,y+1/2,-z'
'x+1/2,-y+1/2,z'
loop_
_atom_site_label
_atom_site_type_symbol
_atom_site_fract_x
_atom_site_fract_y
_atom_site_fract_z
Na1 Na 0.000 0.000 0.241
Ti1 Ti 0.000 0.500 0.500
Ni1 Ni 0.000 0.500 0.000
F1 F 0.000 0.227 0.000
F2 F 0.000 0.230 0.500
F3 F 0.175 0.500 0.280
F4 F 0.175 0.500 0.721
```